Entry 1:
Material: K2ScTcRu
Method: DFT, PBE
State: optimized geometry

Geometry as POSCAR:
```
K2ScTcRu
1.0
5.971 0.000 0.000
0.000 4.589 0.000
0.000 0.000 5.971
Sc Ru K Tc
1 1 2 1
direct
0.500 0.500 0.500
0.000 0.500 0.000
0.000 0.000 0.500
0.500 0.000 0.000
0.000 0.000 0.000
```

Summary:
Symmetry   No. 123
Magnetization   2.805 μB/cell
Energy   -0.150 Ha/atom

---

Entry 2:
Material: K2RuSe
Method: DFT, PBE
State: optimized geometry

Geometry as POSCAR:
```
K2RuSe
1.0
-1.505 7.583 -7.837
-4.337 6.102 -8.072
-3.918 8.425 -5.904
Se K Ru
1 2 1
direct
0.750 0.750 0.750
0.002 0.002 0.002
0.498 0.498 0.498
0.250 0.250 0.250
```

Summary:
Symmetry   No. 166
Magnetization   1.199 μB/cell
Energy   -0.114 Ha/atom
Raw formation energy   0.6292 eV/atom

---

Entry 3:
Material: K2RuSe
Method: DFT, PBE
State: optimized geometry

Geometry as POSCAR:
```
K2RuSe
1.0
5.165 -0.013 0.000
0.031 5.165 0.000
-2.598 -2.576 3.646
Se K Ru
1 2 1
direct
0.750 0.250 0.500
0.000 0.000 0.000
0.250 0.750 0.500
0.500 0.500 0.000
```

Summary:
Symmetry   No. 119
Magnetization   2.098 μB/cell
Energy   -0.120 Ha/atom
Raw formation energy   0.4627 eV/atom

---

Entry 4:
Material: K2RuSe
Method: DFT, PBE
State: optimized geometry

Geometry as POSCAR:
```
K2RuSe
1.0
5.328 -0.076 0.038
-2.669 6.276 1.338
0.003 2.232 3.742
K Se Ru
2 1 1
direct
0.000 0.000 0.000
0.000 0.500 0.500
0.500 0.000 0.500
0.500 0.500 0.000
```

Summary:
Symmetry   No. 65
Magnetization   2.053 μB/cell
Energy   -0.123 Ha/atom
Raw formation energy   0.3908 eV/atom

---

Entry 5:
Material: K2RuSe
Method: DFT, PBE
State: optimized geometry

Geometry as POSCAR:
```
K2RuSe
1.0
5.139 0.000 0.000
0.000 7.444 0.189
0.000 7.294 4.812
Se K Ru
1 2 1
direct
0.500 0.750 0.750
0.000 0.720 0.012
0.000 0.780 0.488
0.500 0.250 0.250
```

Summary:
Symmetry   No. 10
Magnetization   0.315 μB/cell
Energy   -0.134 Ha/atom
Raw formation energy   0.0972 eV/atom

---

Entry 6:
Material: K2RuSe
Method: DFT, PBE
State: optimized geometry

Geometry as POSCAR:
```
K2RuSe
1.0
-0.544 0.123 -4.236
1.289 -4.064 -0.284
-4.849 -1.578 0.577
K Ru Se
2 1 1
direct
0.000 0.000 0.000
0.500 0.500 0.000
0.500 0.000 0.500
0.000 0.500 0.500
```

Summary:
Symmetry   No. 123
Magnetization   1.454 μB/cell
Energy   -0.120 Ha/atom
Raw formation energy   0.4653 eV/atom

---

- What is the energy in the third record?
  -0.120 Ha/atom

---

- What is the formula in the third record?
  K2RuSe

---

- Which of these has the lowest magnetization?
  number 5

---

- Which of these has the lowest energy?
  K2ScTcRu